Density functional theory data (GGA-PBE) for crystalline Mg3BeAg at its relaxed geometry.

Unit cell a=4.7273 b=4.7273 c=4.7273 alpha=90.00 beta=90.00 gamma=90.00
Last column: nearest neighbours and their distance in Å.
Positions (direct):
Ag  0.5000  0.5000  0.5000  12 Mg 3.34
Be  0.0000  0.0000  0.0000  6 Mg 2.36
Mg  0.0000  0.5000  0.0000  2 Be 2.36
Mg  0.0000  0.0000  0.5000  2 Be 2.36
Mg  0.5000  0.0000  0.0000  2 Be 2.36

- E_form (eV per atom) = 0.309
- DOS(E_F) (states/eV per cell) = 1.709
- offset from the most stable computed form (eV per atom) = 0.000
- ρ (g cm⁻³) = 2.983
- space group = Pm-3m